Entry 1:
Computed, not measured: PbNCl3 after structural relaxation at the PBE level of DFT.

a = 5.3914 Å, b = 5.3914 Å, c = 5.3914 Å
α = 90.00°, β = 90.00°, γ = 90.00°
Element x y z (fractional)
Pb  0.0000  0.0000  0.0000
N  0.5000  0.5000  0.5000
Cl  0.0000  0.0000  0.5000
Cl  0.0000  0.5000  0.0000
Cl  0.5000  0.0000  0.0000

Properties
* volume: 156.7 Å³ per cell
* formation energy without anion corrections: 0.4558 eV per atom
* space-group type: Pm-3m
* size of the total moment: 3.0 μB/cell

Entry 2:
Computed, not measured: PbN2Cl4 after structural relaxation at the PBE level of DFT.

a = 7.9845 Å, b = 7.9845 Å, c = 6.8469 Å
α = 101.21°, β = 101.21°, γ = 28.79°
Element x y z (fractional)
Pb  0.0000  0.0000  0.0000
N  0.3587  0.3587  0.3155
N  0.6413  0.6413  0.6845
Cl  0.1512  0.1512  0.7537
Cl  0.4109  0.4109  0.7408
Cl  0.5891  0.5891  0.2592
Cl  0.8488  0.8488  0.2463

Properties
* volume: 205.9 Å³ per cell
* formation energy without anion corrections: 0.8038 eV per atom
* space-group type: C2/m
* size of the total moment: 4.0 μB/cell

Entry 3:
Computed, not measured: PbN2Cl2 after structural relaxation at the PBE level of DFT.

a = 10.1472 Å, b = 10.1472 Å, c = 10.1472 Å
α = 161.12°, β = 161.12°, γ = 26.82°
Element x y z (fractional)
Pb  0.0000  0.0000  0.0000
N  0.2500  0.7500  0.5000
N  0.7500  0.2500  0.5000
Cl  0.4093  0.4093  0.0000
Cl  0.5907  0.5907  0.0000

Properties
* volume: 109.4 Å³ per cell
* formation energy without anion corrections: 1.5165 eV per atom
* space-group type: I4/mmm
* size of the total moment: 2.0 μB/cell